No. 1
Below is a relaxed structure of Ag3Br, with properties calculated at the PBE level.

Cell and atoms, written as CIF:
```
data_Ag3Br
_space_group_name_H-M_alt 'P -6 m 2'
_space_group_IT_number 187
_space_group_name_Hall 'P -6 2'
_cell_length_a 3.4599
_cell_length_b 3.4599
_cell_length_c 8.2951
_cell_angle_alpha 90.00
_cell_angle_beta 90.00
_cell_angle_gamma 120.00
loop_
_atom_site_label
_atom_site_type_symbol
_atom_site_fract_x
_atom_site_fract_y
_atom_site_fract_z
Ag1 Ag 0.0000 0.0000 0.0000
Ag2 Ag 0.3333 0.6667 0.2453
Br1 Br 0.0000 0.0000 0.5000
```

Calculated values
The calculation puts the uncorrected formation energy at 106 meV/atom. The calculation puts the density at 7.79 g/cm³. The total magnetization comes out at 0.0000 μB/atom.



No. 2
Below is a relaxed structure of BeCr3Pd, with properties calculated at the PBE level.

Cell and atoms, written as CIF:
```
data_BeCr3Pd
_space_group_name_H-M_alt 'P m -3 m'
_space_group_IT_number 221
_space_group_name_Hall '-P 4 2 3'
_cell_length_a 3.9515
_cell_length_b 3.9515
_cell_length_c 3.9515
_cell_angle_alpha 90.00
_cell_angle_beta 90.00
_cell_angle_gamma 90.00
loop_
_atom_site_label
_atom_site_type_symbol
_atom_site_fract_x
_atom_site_fract_y
_atom_site_fract_z
Be1 Be 0.0000 0.0000 0.0000
Cr1 Cr 0.0000 0.0000 0.5000
Pd1 Pd 0.5000 0.5000 0.5000
```

Calculated values
The formation energy comes out at 763 meV/atom. The calculation puts the density at 7.30 g/cm³. The total magnetization comes out at 0.0028 μB/atom.



No. 3
Below is a relaxed structure of Y6MgCu6, with properties calculated at the PBE level.

Cell and atoms, written as CIF:
```
data_Y6MgCu6
_space_group_name_H-M_alt 'P 6/m m m'
_space_group_IT_number 191
_space_group_name_Hall '-P 6 2'
_cell_length_a 6.8396
_cell_length_b 6.8396
_cell_length_c 8.0048
_cell_angle_alpha 90.00
_cell_angle_beta 90.00
_cell_angle_gamma 120.00
loop_
_atom_site_label
_atom_site_type_symbol
_atom_site_fract_x
_atom_site_fract_y
_atom_site_fract_z
Y1 Y 0.0000 0.5000 0.2493
Mg1 Mg 0.0000 0.0000 0.0000
Cu1 Cu 0.0000 0.0000 0.3442
Cu2 Cu 0.3333 0.6667 0.0000
Cu3 Cu 0.3333 0.6667 0.5000
```

Calculated values
The formation energy comes out at 176 meV/atom. The calculation puts the density at 4.81 g/cm³. The total magnetization comes out at 0.0000 μB/atom.



Please write out number 1 again, unchanged.
Below is a relaxed structure of Ag3Br, with properties calculated at the PBE level.

Cell and atoms, written as CIF:
```
data_Ag3Br
_space_group_name_H-M_alt 'P -6 m 2'
_space_group_IT_number 187
_space_group_name_Hall 'P -6 2'
_cell_length_a 3.4599
_cell_length_b 3.4599
_cell_length_c 8.2951
_cell_angle_alpha 90.00
_cell_angle_beta 90.00
_cell_angle_gamma 120.00
loop_
_atom_site_label
_atom_site_type_symbol
_atom_site_fract_x
_atom_site_fract_y
_atom_site_fract_z
Ag1 Ag 0.0000 0.0000 0.0000
Ag2 Ag 0.3333 0.6667 0.2453
Br1 Br 0.0000 0.0000 0.5000
```

Calculated values
The calculation puts the uncorrected formation energy at 106 meV/atom. The calculation puts the density at 7.79 g/cm³. The total magnetization comes out at 0.0000 μB/atom.



Repeat the third record exactly.
Below is a relaxed structure of Y6MgCu6, with properties calculated at the PBE level.

Cell and atoms, written as CIF:
```
data_Y6MgCu6
_space_group_name_H-M_alt 'P 6/m m m'
_space_group_IT_number 191
_space_group_name_Hall '-P 6 2'
_cell_length_a 6.8396
_cell_length_b 6.8396
_cell_length_c 8.0048
_cell_angle_alpha 90.00
_cell_angle_beta 90.00
_cell_angle_gamma 120.00
loop_
_atom_site_label
_atom_site_type_symbol
_atom_site_fract_x
_atom_site_fract_y
_atom_site_fract_z
Y1 Y 0.0000 0.5000 0.2493
Mg1 Mg 0.0000 0.0000 0.0000
Cu1 Cu 0.0000 0.0000 0.3442
Cu2 Cu 0.3333 0.6667 0.0000
Cu3 Cu 0.3333 0.6667 0.5000
```

Calculated values
The formation energy comes out at 176 meV/atom. The calculation puts the density at 4.81 g/cm³. The total magnetization comes out at 0.0000 μB/atom.